[1]
# TbEu2Zn

Crystalline TbEu2Zn at its relaxed geometry (PBE, Alexandria).

POSCAR file:
```
TbEu2Zn
1.0
4.899 0.000 0.000
0.000 4.899 0.000
0.000 0.000 5.014
Tb Eu Zn
1 2 1
Direct
0.000 0.000 0.000
0.000 0.500 0.500
0.500 0.000 0.500
0.500 0.500 0.000
```

## Properties
* DFT total energy: -6.5597 eV/atom
* energy relative to the elements: 54 meV per atom
* space-group type: P4/mmm
* energy relative to the lowest polymorph listed for this composition: 0.112 eV per atom

=====

[2]
# TbEu2Zn

Crystalline TbEu2Zn at its relaxed geometry (PBE, Alexandria).

POSCAR file:
```
TbEu2Zn
1.0
3.713 0.000 0.000
0.000 3.713 0.000
0.000 0.000 9.128
Tb Eu Zn
1 2 1
Direct
0.000 0.000 0.000
0.500 0.500 0.295
0.500 0.500 0.705
0.000 0.000 0.500
```

## Properties
* DFT total energy: -6.6716 eV/atom
* energy relative to the elements: -58 meV per atom
* space-group type: P4/mmm
* energy relative to the lowest polymorph listed for this composition: 0.000 eV per atom

=====

[3]
# Tb2EuZr

Crystalline Tb2EuZr at its relaxed geometry (PBE, Alexandria).

POSCAR file:
```
Tb2EuZr
1.0
3.490 0.000 0.000
0.000 3.490 0.000
0.000 0.000 10.191
Tb Eu Zr
2 1 1
Direct
0.000 0.000 0.217
0.000 0.000 0.783
0.500 0.500 0.500
0.500 0.500 0.000
```

## Properties
* DFT total energy: -6.9224 eV/atom
* energy relative to the elements: 98 meV per atom
* space-group type: P4/mmm
* energy relative to the lowest polymorph listed for this composition: 0.000 eV per atom

=====

[4]
# Tb2EuZr

Crystalline Tb2EuZr at its relaxed geometry (PBE, Alexandria).

POSCAR file:
```
Tb2EuZr
1.0
4.965 0.000 0.000
0.000 4.965 0.000
0.000 0.000 4.869
Tb Eu Zr
2 1 1
Direct
0.000 0.500 0.000
0.500 0.000 0.000
0.000 0.000 0.500
0.500 0.500 0.500
```

## Properties
* DFT total energy: -6.8175 eV/atom
* energy relative to the elements: 203 meV per atom
* space-group type: P4/mmm
* energy relative to the lowest polymorph listed for this composition: 0.105 eV per atom

=====

[5]
# TbEuZr

Crystalline TbEuZr at its relaxed geometry (PBE, Alexandria).

POSCAR file:
```
TbEuZr
1.0
-1.717 1.717 7.704
1.717 -1.717 7.704
1.717 1.717 -7.704
Tb Eu Zr
1 1 1
Direct
0.000 0.000 0.000
0.308 0.308 0.000
0.642 0.642 0.000
```

## Properties
* DFT total energy: -7.6593 eV/atom
* energy relative to the elements: 158 meV per atom
* space-group type: I4mm
* energy relative to the lowest polymorph listed for this composition: 0.000 eV per atom

=====

[6]
# TbEuZr

Crystalline TbEuZr at its relaxed geometry (PBE, Alexandria).

POSCAR file:
```
TbEuZr
1.0
3.465 0.000 0.000
-1.733 3.001 0.000
0.000 0.000 8.692
Tb Eu Zr
1 1 1
Direct
0.000 0.000 0.000
0.667 0.333 0.378
0.333 0.667 0.705
```

## Properties
* DFT total energy: -7.6394 eV/atom
* energy relative to the elements: 178 meV per atom
* space-group type: P3m1
* energy relative to the lowest polymorph listed for this composition: 0.020 eV per atom

=====

[7]
# EuTc2

Crystalline EuTc2 at its relaxed geometry (PBE, Alexandria).

POSCAR file:
```
EuTc2
1.0
0.000 3.859 3.859
3.859 0.000 3.859
3.859 3.859 0.000
Eu Tc
2 4
Direct
0.125 0.125 0.125
0.875 0.875 0.875
0.000 0.500 0.500
0.500 0.000 0.500
0.500 0.500 0.000
0.500 0.500 0.500
```

## Properties
* DFT total energy: -10.0900 eV/atom
* energy relative to the elements: 245 meV per atom
* space-group type: Fd-3m

=====

[8]
# Eu3Tc

Crystalline Eu3Tc at its relaxed geometry (PBE, Alexandria).

POSCAR file:
```
Eu3Tc
1.0
0.000 3.789 3.789
3.789 0.000 3.789
3.789 3.789 0.000
Eu Tc
3 1
Direct
0.000 0.000 0.000
0.250 0.250 0.250
0.750 0.750 0.750
0.500 0.500 0.500
```

## Properties
* DFT total energy: -9.8351 eV/atom
* energy relative to the elements: 462 meV per atom
* space-group type: Fm-3m

=====

[9]
# EuTc6

Crystalline EuTc6 at its relaxed geometry (PBE, Alexandria).

POSCAR file:
```
EuTc6
1.0
-3.403 3.403 3.403
3.403 -3.403 3.403
3.403 3.403 -3.403
Eu Tc
1 6
Direct
0.000 0.000 0.000
0.250 0.500 0.750
0.250 0.750 0.500
0.500 0.250 0.750
0.500 0.750 0.250
0.750 0.250 0.500
0.750 0.500 0.250
```

## Properties
* DFT total energy: -9.5285 eV/atom
* energy relative to the elements: 824 meV per atom
* space-group type: Im-3m

=====

[10]
# EuTh3Tc

Crystalline EuTh3Tc at its relaxed geometry (PBE, Alexandria).

POSCAR file:
```
EuTh3Tc
1.0
5.536 0.000 0.000
0.000 5.536 0.000
0.000 0.000 5.536
Eu Th Tc
1 3 1
Direct
0.000 0.000 0.000
0.000 0.500 0.500
0.500 0.000 0.500
0.500 0.500 0.000
0.500 0.500 0.500
```

## Properties
* DFT total energy: -8.4893 eV/atom
* energy relative to the elements: 91 meV per atom
* space-group type: Pm-3m

=====

[11]
# EuThTc

Crystalline EuThTc at its relaxed geometry (PBE, Alexandria).

POSCAR file:
```
EuThTc
1.0
-1.780 1.780 6.501
1.780 -1.780 6.501
1.780 1.780 -6.501
Eu Th Tc
1 1 1
Direct
0.000 0.000 0.000
0.266 0.266 0.000
0.655 0.655 0.000
```

## Properties
* DFT total energy: -9.2486 eV/atom
* energy relative to the elements: 105 meV per atom
* space-group type: I4mm

=====

[12]
# EuThTc4

Crystalline EuThTc4 at its relaxed geometry (PBE, Alexandria).

POSCAR file:
```
EuThTc4
1.0
0.000 3.875 3.875
3.875 0.000 3.875
3.875 3.875 0.000
Eu Th Tc
1 1 4
Direct
0.000 0.000 0.000
0.750 0.750 0.750
0.375 0.375 0.375
0.375 0.375 0.875
0.375 0.875 0.375
0.875 0.375 0.375
```

## Properties
* DFT total energy: -9.7799 eV/atom
* energy relative to the elements: 80 meV per atom
* space-group type: F-43m

=====

[13]
# EuTm3Tc

Crystalline EuTm3Tc at its relaxed geometry (PBE, Alexandria).

POSCAR file:
```
EuTm3Tc
1.0
5.387 0.000 0.000
0.000 5.387 0.000
0.000 0.000 5.387
Eu Tm Tc
1 3 1
Direct
0.000 0.000 0.000
0.000 0.500 0.500
0.500 0.000 0.500
0.500 0.500 0.000
0.500 0.500 0.500
```

## Properties
* DFT total energy: -6.7823 eV/atom
* energy relative to the elements: 29 meV per atom
* space-group type: Pm-3m

=====

[14]
# EuTmTc4

Crystalline EuTmTc4 at its relaxed geometry (PBE, Alexandria).

POSCAR file:
```
EuTmTc4
1.0
0.000 3.827 3.827
3.827 0.000 3.827
3.827 3.827 0.000
Eu Tm Tc
1 1 4
Direct
0.000 0.000 0.000
0.250 0.250 0.250
0.126 0.625 0.625
0.625 0.126 0.625
0.625 0.625 0.126
0.625 0.625 0.625
```

## Properties
* DFT total energy: -9.3387 eV/atom
* energy relative to the elements: 30 meV per atom
* space-group type: F-43m

=====

[15]
# EuUTc2

Crystalline EuUTc2 at its relaxed geometry (PBE, Alexandria).

POSCAR file:
```
EuUTc2
1.0
3.359 0.000 0.000
0.000 3.359 0.000
0.000 0.000 7.326
Eu U Tc
1 1 2
Direct
0.000 0.000 0.000
0.000 0.000 0.500
0.500 0.500 0.307
0.500 0.500 0.693
```

## Properties
* DFT total energy: -10.5021 eV/atom
* energy relative to the elements: 72 meV per atom
* space-group type: P4/mmm

=====

[16]
# EuYTc4

Crystalline EuYTc4 at its relaxed geometry (PBE, Alexandria).

POSCAR file:
```
EuYTc4
1.0
0.000 3.842 3.842
3.842 0.000 3.842
3.842 3.842 0.000
Eu Y Tc
1 1 4
Direct
0.000 0.000 0.000
0.750 0.750 0.750
0.375 0.375 0.375
0.375 0.375 0.875
0.375 0.875 0.375
0.875 0.375 0.375
```

## Properties
* DFT total energy: -9.6435 eV/atom
* energy relative to the elements: 57 meV per atom
* space-group type: F-43m

=====

[17]
# EuTe6

Crystalline EuTe6 at its relaxed geometry (PBE, Alexandria).

POSCAR file:
```
EuTe6
1.0
-4.333 4.333 4.333
4.333 -4.333 4.333
4.333 4.333 -4.333
Eu Te
1 6
Direct
0.000 0.000 0.000
0.250 0.500 0.750
0.250 0.750 0.500
0.500 0.250 0.750
0.500 0.750 0.250
0.750 0.250 0.500
0.750 0.500 0.250
```

## Properties
* DFT total energy: -3.8513 eV/atom
* space-group type: Im-3m
* uncorrected formation energy: 0.31 eV per atom

=====

[18]
# EuTe2

Crystalline EuTe2 at its relaxed geometry (PBE, Alexandria).

POSCAR file:
```
EuTe2
1.0
-2.135 2.135 5.484
2.135 -2.135 5.484
2.135 2.135 -5.484
Eu Te
1 2
Direct
0.000 0.000 0.000
0.366 0.366 0.000
0.634 0.634 0.000
```

## Properties
* DFT total energy: -6.5265 eV/atom
* space-group type: I4/mmm
* uncorrected formation energy: -1.01 eV per atom

=====

[19]
# Eu3Te

Crystalline Eu3Te at its relaxed geometry (PBE, Alexandria).

POSCAR file:
```
Eu3Te
1.0
5.097 0.000 0.000
0.000 5.097 0.000
0.000 0.000 5.097
Eu Te
3 1
Direct
0.000 0.000 0.500
0.000 0.500 0.000
0.500 0.000 0.000
0.500 0.500 0.500
```

## Properties
* DFT total energy: -9.0868 eV/atom
* space-group type: Pm-3m
* uncorrected formation energy: -0.60 eV per atom

=====

[20]
# EuTe3

Crystalline EuTe3 at its relaxed geometry (PBE, Alexandria).

POSCAR file:
```
EuTe3
1.0
4.588 0.000 0.000
0.000 4.588 0.000
0.000 0.000 6.582
Eu Te
1 3
Direct
0.000 0.000 0.000
0.000 0.000 0.500
0.500 0.500 0.000
0.500 0.500 0.500
```

## Properties
* DFT total energy: -5.7034 eV/atom
* space-group type: P4/mmm
* uncorrected formation energy: -0.78 eV per atom